(A)
The following is a DFT calculation (PBE) of a geometry-optimized ZnCu6Pd2 structure.

The structure in CIF format:
```
data_ZnCu6Pd2
_cell_length_a 4.540
_cell_length_b 4.540
_cell_length_c 6.575
_cell_angle_alpha 101.26
_cell_angle_beta 101.26
_cell_angle_gamma 66.25
_space_group_name_H-M_alt 'P 1'
_space_group_IT_number 1
_space_group_name_Hall 'P 1'
loop_
_atom_site_label
_atom_site_type_symbol
_atom_site_fract_x
_atom_site_fract_y
_atom_site_fract_z
_atom_site_occupancy
Zn1 Zn 0.000 0.000 0.000 1
Cu1 Cu 0.218 0.704 0.308 1
Cu2 Cu 0.246 0.246 0.496 1
Cu3 Cu 0.296 0.782 0.692 1
Cu4 Cu 0.704 0.218 0.308 1
Cu5 Cu 0.754 0.754 0.504 1
Cu6 Cu 0.782 0.296 0.692 1
Pd1 Pd 0.321 0.321 0.919 1
Pd2 Pd 0.679 0.679 0.081 1
```

Values from the calculation:
Space-group type: No. 12
Calculated density (Mg/m³): 9.079
Fermi-level density of states (states/eV per atom): 0.3883

=====

(B)
The following is a DFT calculation (PBE) of a geometry-optimized ZnCu6Pd2 structure.

The structure in CIF format:
```
data_ZnCu6Pd2
_cell_length_a 5.788
_cell_length_b 5.788
_cell_length_c 7.595
_cell_angle_alpha 102.95
_cell_angle_beta 102.95
_cell_angle_gamma 95.84
_space_group_name_H-M_alt 'P 1'
_space_group_IT_number 1
_space_group_name_Hall 'P 1'
loop_
_atom_site_label
_atom_site_type_symbol
_atom_site_fract_x
_atom_site_fract_y
_atom_site_fract_z
_atom_site_occupancy
Zn1 Zn 0.157 0.843 0.750 1
Zn2 Zn 0.843 0.157 0.250 1
Cu1 Cu 0.055 0.829 0.076 1
Cu2 Cu 0.159 0.387 0.573 1
Cu3 Cu 0.171 0.945 0.424 1
Cu4 Cu 0.280 0.510 0.928 1
Cu5 Cu 0.387 0.159 0.073 1
Cu6 Cu 0.490 0.720 0.572 1
Cu7 Cu 0.510 0.280 0.428 1
Cu8 Cu 0.613 0.841 0.927 1
Cu9 Cu 0.720 0.490 0.072 1
Cu10 Cu 0.829 0.055 0.576 1
Cu11 Cu 0.841 0.613 0.427 1
Cu12 Cu 0.945 0.171 0.924 1
Pd1 Pd 0.171 0.479 0.248 1
Pd2 Pd 0.479 0.171 0.748 1
Pd3 Pd 0.521 0.829 0.252 1
Pd4 Pd 0.829 0.521 0.752 1
```

Values from the calculation:
Space-group type: No. 15
Calculated density (Mg/m³): 9.183
Fermi-level density of states (states/eV per atom): 0.4891

=====

Name the least stable of them. (A).

=====

(A)
The following is a DFT calculation (PBE) of a geometry-optimized Zn4CuPd structure.

The structure in CIF format:
```
data_Zn4CuPd
_cell_length_a 4.505
_cell_length_b 4.505
_cell_length_c 5.190
_cell_angle_alpha 105.12
_cell_angle_beta 105.12
_cell_angle_gamma 108.73
_space_group_name_H-M_alt 'P 1'
_space_group_IT_number 1
_space_group_name_Hall 'P 1'
loop_
_atom_site_label
_atom_site_type_symbol
_atom_site_fract_x
_atom_site_fract_y
_atom_site_fract_z
_atom_site_occupancy
Zn1 Zn 0.061 0.435 0.254 1
Zn2 Zn 0.435 0.061 0.254 1
Zn3 Zn 0.565 0.939 0.746 1
Zn4 Zn 0.939 0.565 0.746 1
Cu1 Cu 0.000 0.000 0.500 1
Pd1 Pd 0.500 0.500 0.000 1
```

Values from the calculation:
Space-group type: No. 12
Calculated density (Mg/m³): 8.035
Fermi-level density of states (states/eV per atom): 0.3220

=====

(B)
The following is a DFT calculation (PBE) of a geometry-optimized Zn4CuPd structure.

The structure in CIF format:
```
data_Zn4CuPd
_cell_length_a 4.952
_cell_length_b 4.952
_cell_length_c 4.952
_cell_angle_alpha 60.00
_cell_angle_beta 60.00
_cell_angle_gamma 60.00
_space_group_name_H-M_alt 'P 1'
_space_group_IT_number 1
_space_group_name_Hall 'P 1'
loop_
_atom_site_label
_atom_site_type_symbol
_atom_site_fract_x
_atom_site_fract_y
_atom_site_fract_z
_atom_site_occupancy
Zn1 Zn 0.125 0.125 0.125 1
Zn2 Zn 0.125 0.125 0.625 1
Zn3 Zn 0.125 0.625 0.125 1
Zn4 Zn 0.625 0.125 0.125 1
Cu1 Cu 0.500 0.500 0.500 1
Pd1 Pd 0.750 0.750 0.750 1
```

Values from the calculation:
Space-group type: No. 216
Calculated density (Mg/m³): 8.344
Fermi-level density of states (states/eV per atom): 0.1662

=====

Name the least stable of them. (B).

=====

(A)
The following is a DFT calculation (PBE) of a geometry-optimized Zn3Cu2Pd structure.

The structure in CIF format:
```
data_Zn3Cu2Pd
_cell_length_a 7.231
_cell_length_b 7.231
_cell_length_c 3.967
_cell_angle_alpha 105.71
_cell_angle_beta 105.71
_cell_angle_gamma 114.30
_space_group_name_H-M_alt 'P 1'
_space_group_IT_number 1
_space_group_name_Hall 'P 1'
loop_
_atom_site_label
_atom_site_type_symbol
_atom_site_fract_x
_atom_site_fract_y
_atom_site_fract_z
_atom_site_occupancy
Zn1 Zn 0.000 0.500 0.000 1
Zn2 Zn 0.159 0.324 0.492 1
Zn3 Zn 0.324 0.159 0.992 1
Zn4 Zn 0.500 0.000 0.500 1
Zn5 Zn 0.676 0.841 0.008 1
Zn6 Zn 0.841 0.676 0.508 1
Cu1 Cu 0.089 0.911 0.250 1
Cu2 Cu 0.251 0.749 0.750 1
Cu3 Cu 0.749 0.251 0.250 1
Cu4 Cu 0.911 0.089 0.750 1
Pd1 Pd 0.412 0.588 0.250 1
Pd2 Pd 0.588 0.412 0.750 1
```

Values from the calculation:
Space-group type: No. 15
Calculated density (Mg/m³): 8.714
Fermi-level density of states (states/eV per atom): 0.2117

=====

(B)
The following is a DFT calculation (PBE) of a geometry-optimized Zn3Cu2Pd structure.

The structure in CIF format:
```
data_Zn3Cu2Pd
_cell_length_a 3.053
_cell_length_b 3.053
_cell_length_c 8.724
_cell_angle_alpha 90.00
_cell_angle_beta 90.00
_cell_angle_gamma 90.00
_space_group_name_H-M_alt 'P 1'
_space_group_IT_number 1
_space_group_name_Hall 'P 1'
loop_
_atom_site_label
_atom_site_type_symbol
_atom_site_fract_x
_atom_site_fract_y
_atom_site_fract_z
_atom_site_occupancy
Zn1 Zn 0.000 0.000 0.000 1
Zn2 Zn 0.000 0.000 0.323 1
Zn3 Zn 0.000 0.000 0.677 1
Cu1 Cu 0.500 0.500 0.160 1
Cu2 Cu 0.500 0.500 0.840 1
Pd1 Pd 0.500 0.500 0.500 1
```

Values from the calculation:
Space-group type: No. 123
Calculated density (Mg/m³): 8.775
Fermi-level density of states (states/eV per atom): 0.2372

=====

Name the least stable of them. (A).

=====

(A)
The following is a DFT calculation (PBE) of a geometry-optimized ZnCu2Pd3 structure.

The structure in CIF format:
```
data_ZnCu2Pd3
_cell_length_a 6.800
_cell_length_b 6.800
_cell_length_c 6.035
_cell_angle_alpha 90.00
_cell_angle_beta 90.00
_cell_angle_gamma 143.11
_space_group_name_H-M_alt 'P 1'
_space_group_IT_number 1
_space_group_name_Hall 'P 1'
loop_
_atom_site_label
_atom_site_type_symbol
_atom_site_fract_x
_atom_site_fract_y
_atom_site_fract_z
_atom_site_occupancy
Zn1 Zn 0.164 0.836 0.000 1
Zn2 Zn 0.836 0.164 0.000 1
Cu1 Cu 0.167 0.833 0.500 1
Cu2 Cu 0.500 0.500 0.000 1
Cu3 Cu 0.500 0.500 0.500 1
Cu4 Cu 0.833 0.167 0.500 1
Pd1 Pd 0.000 0.000 0.252 1
Pd2 Pd 0.000 0.000 0.748 1
Pd3 Pd 0.333 0.667 0.250 1
Pd4 Pd 0.333 0.667 0.750 1
Pd5 Pd 0.667 0.333 0.250 1
Pd6 Pd 0.667 0.333 0.750 1
```

Values from the calculation:
Space-group type: No. 65
Calculated density (Mg/m³): 10.148
Fermi-level density of states (states/eV per atom): 0.2316

=====

(B)
The following is a DFT calculation (PBE) of a geometry-optimized ZnCu2Pd3 structure.

The structure in CIF format:
```
data_ZnCu2Pd3
_cell_length_a 3.025
_cell_length_b 3.025
_cell_length_c 9.162
_cell_angle_alpha 90.00
_cell_angle_beta 90.00
_cell_angle_gamma 90.00
_space_group_name_H-M_alt 'P 1'
_space_group_IT_number 1
_space_group_name_Hall 'P 1'
loop_
_atom_site_label
_atom_site_type_symbol
_atom_site_fract_x
_atom_site_fract_y
_atom_site_fract_z
_atom_site_occupancy
Zn1 Zn 0.000 0.000 0.000 1
Cu1 Cu 0.000 0.000 0.337 1
Cu2 Cu 0.000 0.000 0.663 1
Pd1 Pd 0.500 0.500 0.168 1
Pd2 Pd 0.500 0.500 0.500 1
Pd3 Pd 0.500 0.500 0.832 1
```

Values from the calculation:
Space-group type: No. 123
Calculated density (Mg/m³): 10.138
Fermi-level density of states (states/eV per atom): 0.3786

=====

Name the least stable of them. (B).